Compound: PrSbS4
Source: Alexandria
Functional: PBE
Structure: relaxed

Geometry as CIF:
```
data_PrSbS4
_chemical_formula_sum 'Pr2 Sb2 S8'
_cell_length_a 7.093
_cell_length_b 7.163
_cell_length_c 7.350
_cell_angle_alpha 111.60
_cell_angle_beta 118.85
_cell_angle_gamma 90.00
_space_group_name_H-M_alt 'P 1'
_space_group_IT_number 1
loop_
_space_group_symop_operation_xyz
'x,y,z'
loop_
_atom_site_label
_atom_site_type_symbol
_atom_site_fract_x
_atom_site_fract_y
_atom_site_fract_z
S1 S 0.587 0.582 0.181
S2 S 0.124 0.647 0.307
S3 S 0.594 0.082 0.181
S4 S 0.876 0.353 0.693
S5 S 0.817 0.853 0.693
S6 S 0.413 0.418 0.819
S7 S 0.183 0.147 0.307
S8 S 0.406 0.918 0.819
Sb1 Sb 0.500 0.500 0.500
Sb2 Sb 0.000 0.000 0.500
Pr1 Pr 0.804 0.250 0.000
Pr2 Pr 0.196 0.750 0.000
```

Summary:
- uncorrected formation energy (eV per atom) = -0.829
- M_tot (μB per atom) = 0.00
- space group = C2/c (15)